Compound: Pm2Nd3Y4
Source: Alexandria
Functional: PBE
Structure: relaxed

Results
VASP energy   -5.426 eV per atom
Energy relative to the elements   92 meV per atom
Offset from the most stable computed form   0.000 eV/atom
Density   5.92 g/cm³

abc: 10.241 10.241 6.175
angles: 95.49 95.49 70.15
Sites, in units of the cell vectors:
1 Pm 0.019 0.741 0.679
2 Pm 0.259 0.981 0.821
3 Pm 0.741 0.019 0.179
4 Pm 0.981 0.259 0.321
5 Nd 0.100 0.900 0.250
6 Nd 0.232 0.437 0.409
7 Nd 0.437 0.232 0.909
8 Nd 0.563 0.768 0.091
9 Nd 0.768 0.563 0.591
10 Nd 0.900 0.100 0.750
11 Y 0.082 0.351 0.852
12 Y 0.315 0.589 0.982
13 Y 0.351 0.082 0.352
14 Y 0.411 0.685 0.518
15 Y 0.589 0.315 0.482
16 Y 0.649 0.918 0.648
17 Y 0.685 0.411 0.018
18 Y 0.918 0.649 0.148